[1]
Here is a relaxed structure of ZrCrOsSe2 from the Alexandria database. Energies are from PBE.

Structure (POSCAR):
```
ZrCrOsSe2
1.0
5.080 0.000 0.000
0.000 5.080 0.000
0.000 0.000 4.660
Zr Cr Os Se
1 1 1 2
direct
0.000 0.000 0.000
0.000 0.000 0.500
0.500 0.500 0.500
0.000 0.500 0.000
0.500 0.000 0.000
```

Calculated values
The relative energy among the computed polymorphs is 747 meV per atom. The space group is No. 123. The raw formation energy is 8.26 eV per formula unit.

***

[2]
Here is a relaxed structure of VZnGe from the Alexandria database. Energies are from PBE.

Structure (POSCAR):
```
VZnGe
1.0
4.975 -1.431 0.000
4.975 1.431 0.000
-1.709 0.000 6.214
V Zn Ge
2 2 2
direct
0.035 0.035 0.325
0.965 0.965 0.675
0.371 0.371 0.970
0.629 0.629 0.030
0.311 0.311 0.351
0.689 0.689 0.649
```

Calculated values
Its energy of formation from the pure elements is 0.03 eV per atom. The space group is No. 12.

***

[3]
Here is a relaxed structure of Rb2HoErSe4 from the Alexandria database. Energies are from PBE.

Structure (POSCAR):
```
Rb2HoErSe4
1.0
7.302 0.000 0.000
0.000 4.217 0.000
-2.432 0.000 7.988
Rb Ho Er Se
2 1 1 4
direct
0.000 0.000 0.000
0.500 0.500 0.000
0.000 0.500 0.500
0.500 0.000 0.500
0.232 0.000 0.695
0.270 0.500 0.306
0.730 0.500 0.694
0.768 0.000 0.305
```

Calculated values
The space group is No. 10. The raw formation energy is -13.87 eV per formula unit.

***

[4]
Here is a relaxed structure of Ca2TbPb3 from the Alexandria database. Energies are from PBE.

Structure (POSCAR):
```
Ca2TbPb3
1.0
2.537 -7.684 0.000
2.537 7.684 0.000
0.000 0.000 9.083
Ca Tb Pb
4 2 6
direct
0.000 0.000 0.000
0.000 0.000 0.500
0.335 0.665 0.000
0.665 0.335 0.000
0.335 0.665 0.500
0.665 0.335 0.500
0.169 0.831 0.254
0.169 0.831 0.746
0.500 0.500 0.253
0.500 0.500 0.747
0.831 0.169 0.254
0.831 0.169 0.746
```

Calculated values
Its energy of formation from the pure elements is -0.49 eV per atom. The space group is No. 65.

***

[5]
Here is a relaxed structure of BeCr2As from the Alexandria database. Energies are from PBE.

Structure (POSCAR):
```
BeCr2As
1.0
0.000 2.864 2.864
2.864 0.000 2.864
2.864 2.864 0.000
Be Cr As
1 2 1
direct
0.000 0.000 0.000
0.250 0.250 0.250
0.500 0.500 0.500
0.750 0.750 0.750
```

Calculated values
Its energy of formation from the pure elements is 0.20 eV per atom. The relative energy among the computed polymorphs is 200 meV per atom. The space group is No. 216.

***

[6]
Here is a relaxed structure of GeMo2P from the Alexandria database. Energies are from PBE.

Structure (POSCAR):
```
GeMo2P
1.0
1.636 0.944 6.728
-1.636 0.944 6.728
0.000 -1.889 6.728
Ge Mo P
1 2 1
direct
0.000 0.000 0.000
0.577 0.577 0.577
0.755 0.755 0.755
0.165 0.165 0.165
```

Calculated values
Its energy of formation from the pure elements is -0.10 eV per atom. The relative energy among the computed polymorphs is 0 meV per atom. The space group is No. 160.

***

[7]
Here is a relaxed structure of VCrP2 from the Alexandria database. Energies are from PBE.

Structure (POSCAR):
```
VCrP2
1.0
0.000 2.895 2.895
2.895 0.000 2.895
2.895 2.895 0.000
V Cr P
1 1 2
direct
0.000 0.000 0.000
0.500 0.500 0.500
0.250 0.250 0.250
0.750 0.750 0.750
```

Calculated values
Its energy of formation from the pure elements is -0.32 eV per atom. The relative energy among the computed polymorphs is 360 meV per atom. The space group is No. 225.

***

[8]
Here is a relaxed structure of Ca2AgI from the Alexandria database. Energies are from PBE.

Structure (POSCAR):
```
Ca2AgI
1.0
3.828 0.000 0.000
0.000 3.828 0.000
0.000 0.000 8.249
Ca Ag I
2 1 1
direct
0.000 0.000 0.212
0.000 0.000 0.788
0.500 0.500 0.000
0.500 0.500 0.500
```

Calculated values
The relative energy among the computed polymorphs is 44 meV per atom. The space group is No. 123. The raw formation energy is -2.49 eV per formula unit.

***

[9]
Here is a relaxed structure of Ac4HgBi2N2 from the Alexandria database. Energies are from PBE.

Structure (POSCAR):
```
Ac4HgBi2N2
1.0
9.335 -2.039 0.000
9.335 2.039 0.000
-3.226 0.000 7.652
Ac Hg Bi N
4 1 2 2
direct
0.057 0.057 0.244
0.281 0.281 0.339
0.719 0.719 0.661
0.943 0.943 0.756
0.500 0.500 0.500
0.375 0.375 0.016
0.625 0.625 0.984
0.179 0.179 0.472
0.821 0.821 0.528
```

Calculated values
The space group is No. 12. The raw formation energy is -8.01 eV per formula unit.

***

[10]
Here is a relaxed structure of AgIr2PbC from the Alexandria database. Energies are from PBE.

Structure (POSCAR):
```
AgIr2PbC
1.0
4.964 0.000 0.000
0.000 4.964 0.000
0.000 0.000 5.111
Ag Ir Pb C
1 2 1 1
direct
0.000 0.000 0.000
0.000 0.500 0.000
0.500 0.000 0.000
0.000 0.000 0.500
0.500 0.500 0.500
```

Calculated values
Its energy of formation from the pure elements is 3.09 eV per atom. The space group is No. 123.

***

[11]
Here is a relaxed structure of SbTeMo2 from the Alexandria database. Energies are from PBE.

Structure (POSCAR):
```
SbTeMo2
1.0
4.006 0.000 0.000
0.000 4.411 0.000
-0.443 0.000 5.367
Sb Te Mo
1 1 2
direct
0.000 0.000 0.000
0.500 0.000 0.500
0.306 0.500 0.838
0.694 0.500 0.162
```

Calculated values
The relative energy among the computed polymorphs is 398 meV per atom. The space group is No. 10. The raw formation energy is 2.08 eV per formula unit.

***

[12]
Here is a relaxed structure of SmGa2Pt6 from the Alexandria database. Energies are from PBE.

Structure (POSCAR):
```
SmGa2Pt6
1.0
0.000 5.674 5.674
5.674 0.000 5.674
5.674 5.674 0.000
Sm Ga Pt
2 4 12
direct
0.125 0.125 0.125
0.875 0.875 0.875
0.000 0.500 0.500
0.500 0.000 0.500
0.500 0.500 0.000
0.500 0.500 0.500
0.124 0.124 0.626
0.124 0.626 0.124
0.124 0.626 0.626
0.374 0.374 0.876
0.374 0.876 0.374
0.374 0.876 0.876
0.626 0.124 0.124
0.626 0.124 0.626
0.626 0.626 0.124
0.876 0.374 0.374
0.876 0.374 0.876
0.876 0.876 0.374
```

Calculated values
Its energy of formation from the pure elements is -0.42 eV per atom. The space group is No. 227.

***

[13]
Here is a relaxed structure of MoIrS2Cl from the Alexandria database. Energies are from PBE.

Structure (POSCAR):
```
MoIrS2Cl
1.0
4.701 0.000 0.000
0.000 4.701 0.000
0.000 0.000 4.668
Mo Ir S Cl
1 1 2 1
direct
0.000 0.000 0.000
0.500 0.500 0.500
0.000 0.500 0.500
0.500 0.000 0.500
0.500 0.500 0.000
```

Calculated values
The relative energy among the computed polymorphs is 0 meV per atom. The space group is No. 123. The raw formation energy is 4.25 eV per formula unit.

***

[14]
Here is a relaxed structure of K2Mg3P4H20O24 from the Alexandria database. Energies are from PBE.

Structure (POSCAR):
```
K2Mg3P4H20O24
1.0
7.560 0.000 0.000
0.000 6.710 0.000
-1.140 0.000 20.600
K Mg P H O
4 6 8 40 48
direct
0.237 0.017 0.441
0.237 0.483 0.941
0.763 0.517 0.059
0.763 0.983 0.559
0.000 0.000 0.000
0.000 0.500 0.500
0.234 0.572 0.763
0.234 0.928 0.263
0.766 0.072 0.737
0.766 0.428 0.237
0.066 0.209 0.146
0.066 0.291 0.646
0.465 0.155 0.153
0.465 0.345 0.653
0.535 0.655 0.347
0.535 0.845 0.847
0.934 0.709 0.354
0.934 0.791 0.854
0.064 0.663 0.613
0.064 0.837 0.113
0.144 0.179 0.806
0.144 0.321 0.306
0.154 0.554 0.207
0.154 0.946 0.707
0.185 0.712 0.069
0.185 0.788 0.569
0.337 0.019 0.954
0.337 0.481 0.454
0.345 0.071 0.028
0.345 0.429 0.528
0.350 0.191 0.800
0.350 0.309 0.300
0.354 0.581 0.236
0.354 0.919 0.736
0.402 0.563 0.111
0.402 0.937 0.611
0.438 0.719 0.585
0.438 0.781 0.085
0.562 0.219 0.915
0.562 0.281 0.415
0.598 0.063 0.389
0.598 0.437 0.889
0.646 0.081 0.264
0.646 0.419 0.764
0.650 0.691 0.700
0.650 0.809 0.200
0.655 0.571 0.472
0.655 0.929 0.972
0.663 0.519 0.546
0.663 0.981 0.046
0.815 0.212 0.431
0.815 0.288 0.931
0.846 0.054 0.293
0.846 0.446 0.793
0.856 0.679 0.694
0.856 0.821 0.194
0.936 0.163 0.887
0.936 0.337 0.387
0.007 0.700 0.424
0.007 0.800 0.924
0.012 0.619 0.816
0.012 0.881 0.316
0.062 0.006 0.181
0.062 0.494 0.681
0.064 0.728 0.570
0.064 0.772 0.070
0.244 0.227 0.307
0.244 0.273 0.807
0.249 0.653 0.216
0.249 0.847 0.716
0.265 0.076 0.988
0.265 0.424 0.488
0.276 0.229 0.645
0.276 0.271 0.145
0.400 0.643 0.071
0.400 0.857 0.571
0.402 0.676 0.839
0.402 0.824 0.339
0.460 0.019 0.214
0.460 0.481 0.714
0.485 0.031 0.091
0.485 0.469 0.591
0.515 0.531 0.409
0.515 0.969 0.909
0.540 0.519 0.286
0.540 0.981 0.786
0.598 0.176 0.661
0.598 0.324 0.161
0.600 0.143 0.429
0.600 0.357 0.929
0.724 0.729 0.855
0.724 0.771 0.355
0.735 0.576 0.512
0.735 0.924 0.012
0.751 0.153 0.284
0.751 0.347 0.784
0.756 0.727 0.193
0.756 0.773 0.693
0.936 0.228 0.930
0.936 0.272 0.430
0.938 0.506 0.319
0.938 0.994 0.819
0.988 0.119 0.684
0.988 0.381 0.184
0.993 0.200 0.076
0.993 0.300 0.576
```

Calculated values
The space group is No. 14. The calculated total energy is -5.73 eV/atom.

***

[15]
Here is a relaxed structure of Rb2BiPbI6 from the Alexandria database. Energies are from PBE.

Structure (POSCAR):
```
Rb2BiPbI6
1.0
-4.476 4.476 6.354
4.476 -4.476 6.354
4.476 4.476 -6.354
Rb Bi Pb I
2 1 1 6
direct
0.250 0.750 0.500
0.750 0.250 0.500
0.000 0.000 0.000
0.500 0.500 0.000
0.248 0.248 0.000
0.248 0.248 0.496
0.248 0.752 0.000
0.752 0.248 0.000
0.752 0.752 0.000
0.752 0.752 0.504
```

Calculated values
The space group is No. 139. The raw formation energy is -8.10 eV per formula unit.

***

[16]
Here is a relaxed structure of CaCdGa2Au4 from the Alexandria database. Energies are from PBE.

Structure (POSCAR):
```
CaCdGa2Au4
1.0
2.270 1.310 9.199
-2.270 1.310 9.199
0.000 -2.621 9.199
Ca Cd Ga Au
1 1 2 4
direct
0.000 0.000 0.000
0.500 0.500 0.500
0.255 0.255 0.255
0.745 0.745 0.745
0.119 0.119 0.119
0.394 0.394 0.394
0.606 0.606 0.606
0.881 0.881 0.881
```

Calculated values
Its energy of formation from the pure elements is -0.35 eV per atom. The space group is No. 166.

***

[17]
Here is a relaxed structure of LaPm2NdDy5 from the Alexandria database. Energies are from PBE.

Structure (POSCAR):
```
LaPm2NdDy5
1.0
-4.381 4.381 7.839
4.381 -4.381 7.839
4.381 4.381 -7.839
La Pm Nd Dy
2 4 2 10
direct
0.250 0.250 0.000
0.750 0.750 0.000
0.118 0.618 0.735
0.382 0.118 0.500
0.618 0.882 0.500
0.882 0.382 0.265
0.250 0.750 0.500
0.750 0.250 0.500
0.000 0.000 0.000
0.072 0.157 0.500
0.157 0.657 0.085
0.343 0.428 0.500
0.428 0.928 0.085
0.500 0.500 0.000
0.572 0.072 0.915
0.657 0.572 0.500
0.843 0.343 0.915
0.928 0.843 0.500
```

Calculated values
Its energy of formation from the pure elements is 0.25 eV per atom. The space group is No. 140.

***

[18]
Here is a relaxed structure of ZnPbW2 from the Alexandria database. Energies are from PBE.

Structure (POSCAR):
```
ZnPbW2
1.0
4.737 -1.627 0.000
4.737 1.627 0.000
-0.706 0.000 4.872
Zn Pb W
1 1 2
direct
0.000 0.000 0.000
0.500 0.500 0.500
0.253 0.253 0.804
0.747 0.747 0.196
```

Calculated values
Its energy of formation from the pure elements is 0.72 eV per atom. The relative energy among the computed polymorphs is 208 meV per atom. The space group is No. 12.

***

[19]
Here is a relaxed structure of Ac2Be2WN6 from the Alexandria database. Energies are from PBE.

Structure (POSCAR):
```
Ac2Be2WN6
1.0
2.785 1.608 5.205
-2.785 1.608 5.205
0.000 -3.216 5.205
Ac Be W N
2 2 1 6
direct
0.233 0.233 0.233
0.767 0.767 0.767
0.424 0.424 0.424
0.576 0.576 0.576
0.000 0.000 0.000
0.245 0.245 0.742
0.245 0.742 0.245
0.258 0.755 0.755
0.742 0.245 0.245
0.755 0.258 0.755
0.755 0.755 0.258
```

Calculated values
The space group is No. 166. The raw formation energy is -8.01 eV per formula unit.

***

| no. | magnetization (μB/f.u.) |
| --- | --- |
| 1 | 3.144 |
| 2 | 0.000 |
| 3 | 0.000 |
| 4 | 0.000 |
| 5 | 0.957 |
| 6 | 0.000 |
| 7 | 1.373 |
| 8 | 0.000 |
| 9 | 0.000 |
| 10 | 0.000 |
| 11 | 0.000 |
| 12 | 0.000 |
| 13 | 3.102 |
| 14 | 0.000 |
| 15 | 0.000 |
| 16 | 0.000 |
| 17 | 0.000 |
| 18 | 0.000 |
| 19 | 0.002 |